#w
Here is PaCo3P after structural relaxation from Alexandria. Energies are from PBE.

Values from the calculation:
Spin magnetization ... 0.000 μB per atom
Density of states at the Fermi level ... 10.49 states/eV per cell
ρ ... 10.54 Mg/m³

Cell: 5.8479 5.8479 5.8479 Å, 130.21 103.57 96.88°
Last column: nearest neighbours and their distance in Å.
Fractional coordinates of all 10 atoms:
Pa1 0.2574 0.0074 0.2500  7 Co 2.59-2.83
Pa2 0.7426 0.9926 0.7500  7 Co 2.59-2.83
Co1 0.0766 0.3266 0.7500  2 P 2.25, 4 Co 2.49
Co2 0.2872 0.0000 0.7872  2 P 2.31, 4 Co 2.46-2.49
Co3 0.2872 0.5000 0.2872  2 P 2.31, 4 Co 2.46-2.49
Co4 0.7128 0.0000 0.2128  2 P 2.31, 4 Co 2.46-2.49
Co5 0.7128 0.5000 0.7128  2 P 2.31, 4 Co 2.46-2.49
Co6 0.9234 0.6734 0.2500  2 P 2.25, 4 Co 2.49
P1 0.0000 0.5000 0.5000  6 Co 2.25-2.31
P2 0.5000 0.5000 0.0000  6 Co 2.25-2.31

---

#x
Here is PaCo3P after structural relaxation from Alexandria. Energies are from PBE.

Values from the calculation:
Spin magnetization ... 0.000 μB per atom
Density of states at the Fermi level ... 3.69 states/eV per cell
ρ ... 10.56 Mg/m³

Cell: 5.5376 5.5376 5.5376 Å, 140.19 140.19 57.57°
Last column: nearest neighbours and their distance in Å.
Fractional coordinates of all 5 atoms:
Pa1 0.0000 0.0000 0.0000  8 Co 2.79-3.01, 4 P 3.00
Co1 0.2416 0.7416 0.5000  2 P 2.20, 2 Co 2.42
Co2 0.5849 0.5849 0.0000  1 P 2.19, 4 Co 2.42
Co3 0.7416 0.2416 0.5000  2 P 2.20, 2 Co 2.42
P1 0.3588 0.3588 0.0000  5 Co 2.19-2.20

---

Most stable: #x

---

#w
Here is PaCo2P after structural relaxation from Alexandria. Energies are from PBE.

Values from the calculation:
Spin magnetization ... 0.021 μB per atom
Density of states at the Fermi level ... 4.67 states/eV per cell
ρ ... 10.04 Mg/m³

Cell: 4.1292 4.1292 3.7230 Å, 93.32 93.32 83.05°
Last column: nearest neighbours and their distance in Å.
Fractional coordinates of all 4 atoms:
Pa1 0.0000 0.0000 0.0000  2 Co 2.43
Co1 0.2969 0.2969 0.4669  2 P 2.22-2.27, 1 Pa 2.43
Co2 0.7031 0.7031 0.5331  2 P 2.22-2.27, 1 Pa 2.43
P1 0.5000 0.5000 0.0000  4 Co 2.22-2.27

---

#x
Here is PaCo2P after structural relaxation from Alexandria. Energies are from PBE.

Values from the calculation:
Spin magnetization ... 0.000 μB per atom
Density of states at the Fermi level ... 2.84 states/eV per cell
ρ ... 10.82 Mg/m³

Cell: 5.1624 5.1624 5.1624 Å, 43.13 43.13 43.13°
Last column: nearest neighbours and their distance in Å.
Fractional coordinates of all 4 atoms:
Pa1 0.0000 0.0000 0.0000  8 Co 2.75-3.01
Co1 0.2146 0.2146 0.2146  3 P 2.29
Co2 0.7854 0.7854 0.7854  3 P 2.29
P1 0.5000 0.5000 0.5000  6 Co 2.29

---

Most stable: #x

---

#w
Here is Co2PPb after structural relaxation from Alexandria. Energies are from PBE.

Values from the calculation:
Spin magnetization ... 0.606 μB per atom
Density of states at the Fermi level ... 2.57 states/eV per cell
ρ ... 9.92 Mg/m³

Cell: 4.3838 4.3838 4.3838 Å, 60.00 60.00 60.00°
Last column: nearest neighbours and their distance in Å.
Fractional coordinates of all 4 atoms:
Co1 0.2500 0.2500 0.2500  4 Pb 2.68, 4 P 2.68
Co2 0.7500 0.7500 0.7500  4 Pb 2.68, 4 P 2.68
P1 0.0000 0.0000 0.0000  8 Co 2.68
Pb1 0.5000 0.5000 0.5000  8 Co 2.68

---

#x
Here is Co2PPb after structural relaxation from Alexandria. Energies are from PBE.

Values from the calculation:
Spin magnetization ... 0.452 μB per atom
Density of states at the Fermi level ... 7.92 states/eV per cell
ρ ... 8.19 Mg/m³

Cell: 7.9414 7.9414 7.9414 Å, 147.47 147.47 46.67°
Last column: nearest neighbours and their distance in Å.
Fractional coordinates of all 8 atoms:
Co1 0.3750 0.2183 0.3433  2 P 2.18, 2 Co 2.37
Co2 0.7817 0.1250 0.1567  2 P 2.18, 2 Co 2.37
Co3 0.8750 0.0317 0.6567  2 P 2.18, 2 Co 2.37
Co4 0.9683 0.6250 0.8433  2 P 2.18, 2 Co 2.37
P1 0.0000 0.0000 0.0000  4 Co 2.18
P2 0.7500 0.2500 0.5000  4 Co 2.18
Pb1 0.2500 0.7500 0.5000  4 Co 2.80
Pb2 0.5000 0.5000 0.0000  4 Co 2.80

---

#y
Here is Co2PPb after structural relaxation from Alexandria. Energies are from PBE.

Values from the calculation:
Spin magnetization ... 0.747 μB per atom
Density of states at the Fermi level ... 5.87 states/eV per cell
ρ ... 9.26 Mg/m³

Cell: 4.4859 4.4859 4.4859 Å, 60.00 60.00 60.00°
Last column: nearest neighbours and their distance in Å.
Fractional coordinates of all 4 atoms:
Co1 0.0000 0.0000 0.0000  4 Co 2.75, 4 P 2.75
Co2 0.2500 0.2500 0.2500  4 Pb 2.75, 4 Co 2.75
P1 0.7500 0.7500 0.7500  4 Pb 2.75, 4 Co 2.75
Pb1 0.5000 0.5000 0.5000  4 Co 2.75, 4 P 2.75

---

Most stable: #x

---

#w
Here is Co2PPb after structural relaxation from Alexandria. Energies are from PBE.

Values from the calculation:
Spin magnetization ... 0.131 μB per atom
Density of states at the Fermi level ... 4.53 states/eV per cell
ρ ... 7.81 Mg/m³

Cell: 3.5524 3.5524 6.0008 Å, 90.00 90.00 90.00°
Last column: nearest neighbours and their distance in Å.
Fractional coordinates of all 4 atoms:
Co1 0.0000 0.5000 0.0000  2 P 2.16
Co2 0.5000 0.0000 0.0000  2 P 2.16
P1 0.0000 0.0000 0.2042  4 Co 2.16
Pb1 0.5000 0.5000 0.6512  4 Co 2.75

---

#x
Here is Co2PPb after structural relaxation from Alexandria. Energies are from PBE.

Values from the calculation:
Spin magnetization ... 0.000 μB per atom
Density of states at the Fermi level ... 3.05 states/eV per cell
ρ ... 9.07 Mg/m³

Cell: 4.7893 4.7893 4.7893 Å, 139.31 109.37 84.84°
Last column: nearest neighbours and their distance in Å.
Fractional coordinates of all 4 atoms:
Co1 0.1833 0.1833 0.0000  2 P 2.11
Co2 0.8167 0.8167 0.0000  2 P 2.11
P1 0.0000 0.5000 0.5000  4 Co 2.11
Pb1 0.5000 0.0000 0.5000  8 Co 2.79-3.06

---

Most stable: #w

---

#w
Here is Co2PPb after structural relaxation from Alexandria. Energies are from PBE.

Values from the calculation:
Spin magnetization ... 0.000 μB per atom
Density of states at the Fermi level ... 4.03 states/eV per cell
ρ ... 9.72 Mg/m³

Cell: 6.6207 6.6207 6.6207 Å, 153.51 151.93 38.98°
Last column: nearest neighbours and their distance in Å.
Fractional coordinates of all 4 atoms:
Co1 0.0000 0.0000 0.0000  2 P 2.16
Co2 0.8294 0.3294 0.5000  4 P 2.31
P1 0.3837 0.8837 0.5000  6 Co 2.16-2.31
Pb1 0.6389 0.6389 0.0000  6 Co 2.81-2.82, 2 Pb 3.03

---

#x
Here is Co2PPb after structural relaxation from Alexandria. Energies are from PBE.

Values from the calculation:
Spin magnetization ... 0.130 μB per atom
Density of states at the Fermi level ... 2.57 states/eV per cell
ρ ... 9.71 Mg/m³

Cell: 3.1905 3.1905 5.9841 Å, 90.00 90.00 90.00°
Last column: nearest neighbours and their distance in Å.
Fractional coordinates of all 4 atoms:
Co1 0.0000 0.0000 0.0000  1 P 2.12
Co2 0.5000 0.5000 0.2735  4 P 2.31
P1 0.0000 0.0000 0.3551  5 Co 2.12-2.31
Pb1 0.5000 0.5000 0.7447  5 Co 2.72-2.82

---

#y
Here is Co2PPb after structural relaxation from Alexandria. Energies are from PBE.

Values from the calculation:
Spin magnetization ... 0.137 μB per atom
Density of states at the Fermi level ... 2.99 states/eV per cell
ρ ... 10.03 Mg/m³

Cell: 2.9043 2.9043 6.9877 Å, 90.00 90.00 90.10°
Last column: nearest neighbours and their distance in Å.
Fractional coordinates of all 4 atoms:
Co1 0.0000 0.0000 0.1720  4 P 2.38, 1 Co 2.40
Co2 0.0000 0.0000 0.8280  4 P 2.38, 1 Co 2.40
P1 0.5000 0.5000 0.0000  8 Co 2.38
Pb1 0.5000 0.5000 0.5000  4 Pb 2.90, 8 Co 3.08

---

#z
Here is Co2PPb after structural relaxation from Alexandria. Energies are from PBE.

Values from the calculation:
Spin magnetization ... 0.445 μB per atom
Density of states at the Fermi level ... 3.09 states/eV per cell
ρ ... 10.03 Mg/m³

Cell: 4.2536 4.2536 3.2595 Å, 90.00 90.00 90.00°
Last column: nearest neighbours and their distance in Å.
Fractional coordinates of all 4 atoms:
Co1 0.0000 0.5000 0.0000  4 Pb 2.68, 4 P 2.68
Co2 0.5000 0.0000 0.0000  4 Pb 2.68, 4 P 2.68
P1 0.0000 0.0000 0.5000  8 Co 2.68
Pb1 0.5000 0.5000 0.5000  8 Co 2.68

---

Most stable: #w